(1)
DFT (PBE) results for a geometry-optimized BaY2Si structure.

## Properties
size of the total moment	0.00	μB per formula unit
VASP energy	-0.3880	Ry/atom
theoretical density	3.85	g/cm3
Fermi-level density of states	1.48	states/eV per atom

abc: 7.1655 4.1405 10.2564
angles: 90.00 103.45 90.00
Closest atoms and distances in Å follow each position.
Space group Cm (No. 8)
One atom of each set of equivalent atoms:
Ba: 0.0000 0.0000 0.0000 [2 per cell]  6 Ba 4.14, 6 Y 4.14-4.26
Y: 0.0481 0.5000 0.6474 [2 per cell]  3 Si 2.85
Y: 0.2784 0.5000 0.3390 [2 per cell]  3 Si 2.84
Si: 0.1630 0.0000 0.4924 [2 per cell]  6 Y 2.84-2.85

***

(2)
DFT (PBE) results for a geometry-optimized Mn2SnIr structure.

## Properties
size of the total moment	6.81	μB per formula unit
ΔH_f (0 K)	-0.2	eV/f.u.
theoretical density	11.27	g/cm3
Fermi-level density of states	0.84	states/eV per atom

abc: 3.9451 3.9451 3.9832
angles: 90.00 90.00 90.00
Closest atoms and distances in Å follow each position.
Space group P4/mmm (No. 123)
One atom of each set of equivalent atoms:
Mn: 0.0000 0.5000 0.0000 [2 per cell]  4 Mn 2.79, 4 Sn 2.80, 4 Ir 2.80
Sn: 0.0000 0.0000 0.5000 [1 per cell]  4 Ir 2.79, 8 Mn 2.80
Ir: 0.5000 0.5000 0.5000 [1 per cell]  4 Sn 2.79, 8 Mn 2.80

***

(3)
DFT (PBE) results for a geometry-optimized KGdMg4 structure.

## Properties
size of the total moment	8.12	μB per formula unit
ΔH_f (0 K)	0.7	eV/f.u.
theoretical density	2.76	g/cm3
Fermi-level density of states	1.52	states/eV per atom

abc: 8.9027 8.9027 8.9027
angles: 90.00 90.00 90.00
Closest atoms and distances in Å follow each position.
Space group F-43m (No. 216)
One atom of each set of equivalent atoms:
K: 0.0000 0.0000 0.0000 [4 per cell]  12 Mg 3.69, 4 Gd 3.85
Gd: 0.2500 0.2500 0.2500 [4 per cell]  12 Mg 3.69, 4 K 3.85
Mg: 0.1236 0.1236 0.6236 [16 per cell]  6 Mg 3.11-3.18

***

(4)
DFT (PBE) results for a geometry-optimized ZrTlPt2 structure.

## Properties
size of the total moment	0.00	μB per formula unit
ΔH_f (0 K)	-2.5	eV/f.u.
theoretical density	13.80	g/cm3
Fermi-level density of states	0.53	states/eV per atom

abc: 3.3800 3.4771 7.1162
angles: 90.00 99.47 90.00
Closest atoms and distances in Å follow each position.
Space group P2/m (No. 10)
One atom of each set of equivalent atoms:
Zr: 0.0000 0.0000 0.0000 [1 per cell]  8 Pt 2.79-2.85
Tl: 0.0000 0.0000 0.5000 [1 per cell]  4 Pt 2.90
Pt: 0.4151 0.5000 0.7948 [2 per cell]  4 Zr 2.79-2.85, 1 Pt 2.88, 2 Tl 2.90

***

(5)
DFT (PBE) results for a geometry-optimized PuGa3Pd structure.

## Properties
size of the total moment	5.59	μB per formula unit
ΔH_f (0 K)	-2.2	eV/f.u.
polymorph energy (0 for the lowest one)	43	meV per atom
theoretical density	9.67	g/cm3
Fermi-level density of states	2.68	states/eV per atom

abc: 6.2539 6.2539 5.6708
angles: 90.00 90.00 120.00
Closest atoms and distances in Å follow each position.
Space group P6_3/mmc (No. 194)
One atom of each set of equivalent atoms:
Pu: 0.3333 0.6667 0.2500 [2 per cell]  12 Ga 3.14-3.21
Ga: 0.1947 0.3894 0.7500 [6 per cell]  2 Pd 2.54, 2 Ga 2.60
Pd: 0.0000 0.0000 0.0000 [2 per cell]  6 Ga 2.54, 2 Pd 2.84

***

(6)
DFT (PBE) results for a geometry-optimized NbSi2Ag structure.

## Properties
size of the total moment	0.00	μB per formula unit
VASP energy	-0.4087	Ry/atom
theoretical density	6.16	g/cm3
Fermi-level density of states	0.42	states/eV per atom

abc: 6.8802 6.8802 5.8488
angles: 90.00 90.00 90.00
Closest atoms and distances in Å follow each position.
Space group I-42d (No. 122)
One atom of each set of equivalent atoms:
Nb: 0.0000 0.0000 0.0000 [4 per cell]  4 Si 2.61
Si: 0.2354 0.2500 0.6250 [8 per cell]  2 Ag 2.47, 2 Nb 2.61
Ag: 0.0000 0.0000 0.5000 [4 per cell]  4 Si 2.47

***

(7)
DFT (PBE) results for a geometry-optimized ZnReSb2I structure.

## Properties
size of the total moment	3.64	μB per formula unit
polymorph energy (0 for the lowest one)	824	meV per atom
theoretical density	7.08	g/cm3
Fermi-level density of states	0.54	states/eV per atom

abc: 5.1867 5.1867 5.4225
angles: 90.00 90.00 90.00
Closest atoms and distances in Å follow each position.
Space group P4/mmm (No. 123)
One atom of each set of equivalent atoms:
Zn: 0.0000 0.0000 0.0000 [1 per cell]  4 Sb 2.59, 2 I 2.71
Re: 0.5000 0.5000 0.5000 [1 per cell]  4 I 3.67, 8 Sb 3.75
Sb: 0.0000 0.5000 0.0000 [2 per cell]  2 Zn 2.59
I: 0.0000 0.0000 0.5000 [1 per cell]  2 Zn 2.71

***

(8)
DFT (PBE) results for a geometry-optimized Ba3YRu structure.

## Properties
size of the total moment	3.26	μB per formula unit
ΔH_f (0 K)	7.4	eV/f.u.
polymorph energy (0 for the lowest one)	1029	meV per atom
theoretical density	3.94	g/cm3
Fermi-level density of states	1.57	states/eV per atom

abc: 6.3297 6.3297 6.3297
angles: 90.00 90.00 90.00
Closest atoms and distances in Å follow each position.
Space group Pm-3m (No. 221)
One atom of each set of equivalent atoms:
Ba: 0.0000 0.0000 0.5000 [3 per cell]  2 Y 3.16
Y: 0.0000 0.0000 0.0000 [1 per cell]  6 Ba 3.16
Ru: 0.5000 0.5000 0.5000 [1 per cell]  12 Ba 4.48

***

(9)
DFT (PBE) results for a geometry-optimized ScNb3Tc structure.

## Properties
size of the total moment	0.00	μB per formula unit
ΔH_f (0 K)	9.3	eV/f.u.
polymorph energy (0 for the lowest one)	1065	meV per atom
theoretical density	6.94	g/cm3
Fermi-level density of states	1.38	states/eV per atom

abc: 4.6552 4.6552 4.6552
angles: 90.00 90.00 90.00
Closest atoms and distances in Å follow each position.
Space group Pm-3m (No. 221)
One atom of each set of equivalent atoms:
Sc: 0.0000 0.0000 0.0000 [1 per cell]  6 Nb 2.33
Nb: 0.0000 0.0000 0.5000 [3 per cell]  2 Sc 2.33
Tc: 0.5000 0.5000 0.5000 [1 per cell]  12 Nb 3.29

***

(10)
DFT (PBE) results for a geometry-optimized Ca2NdHg4 structure.

## Properties
size of the total moment	0.00	μB per formula unit
ΔH_f (0 K)	-2.7	eV/f.u.
theoretical density	8.08	g/cm3
Fermi-level density of states	0.59	states/eV per atom

abc: 5.2365 5.2365 26.6656
angles: 90.00 90.00 120.00
Closest atoms and distances in Å follow each position.
Space group R-3m (No. 166, hexagonal axes)
One atom of each set of equivalent atoms:
Ca: 0.0000 0.0000 0.2431 [6 per cell]  8 Hg 3.15-3.50
Nd: 0.0000 0.0000 0.0000 [3 per cell]  8 Hg 3.21-3.31
Hg: 0.0000 0.0000 0.1241 [6 per cell]  4 Ca 3.15-3.17, 1 Nd 3.31
Hg: 0.0000 0.0000 0.3742 [6 per cell]  3 Nd 3.21, 4 Ca 3.30-3.50

***

(11)
DFT (PBE) results for a geometry-optimized NpSnPbO6 structure.

## Properties
size of the total moment	1.00	μB per formula unit
VASP energy	-0.5565	Ry/atom
theoretical density	7.52	g/cm3

abc: 5.5718 5.5718 10.8273
angles: 90.00 90.00 120.00
Closest atoms and distances in Å follow each position.
Space group P-31c (No. 163)
One atom of each set of equivalent atoms:
Np: 0.3333 0.6667 0.2500 [2 per cell]  6 O 2.09
Sn: 0.3333 0.6667 0.7500 [2 per cell]  6 O 2.11
Pb: 0.0000 0.0000 0.0000 [2 per cell]  6 O 2.58
O: 0.0021 0.3678 0.1454 [12 per cell]  1 Np 2.09, 1 Sn 2.11

***

(12)
DFT (PBE) results for a geometry-optimized Cs4Y3ErSe8 structure.

## Properties
size of the total moment	0.00	μB per formula unit
VASP energy	-0.3811	Ry/atom
theoretical density	5.04	g/cm3
Fermi-level density of states	0.00	states/eV per atom

abc: 8.5227 8.5227 25.1150
angles: 90.00 90.00 120.00
Closest atoms and distances in Å follow each position.
Space group R-3m (No. 166, hexagonal axes)
One atom of each set of equivalent atoms:
Cs: 0.0000 0.0000 0.0000 [3 per cell]  6 Se 3.62
Cs: 0.0000 0.5000 0.0000 [9 per cell]  6 Se 3.60
Y: 0.0000 0.5000 0.5000 [9 per cell]  6 Se 2.91-2.92
Er: 0.0000 0.0000 0.5000 [3 per cell]  6 Se 2.89
Se: 0.0000 0.0000 0.2287 [6 per cell]  3 Y 2.91
Se: 0.0022 0.5011 0.2284 [18 per cell]  1 Er 2.89, 2 Y 2.91